First-principles (PBE) data for an optimized crystal structure of Tl2FeCu, as listed in the Alexandria database.

Values from the calculation:
**Space group**: I-42d (122)
**Energy above the lowest structure with this stoichiometry**: 25.6 kJ per mole of atoms
**Total magnetic moment**: 5.6 μB per cell

extended XYZ file:
```
8
Lattice="-3.712 3.712 3.042 3.712 -3.712 3.042 3.712 3.712 -3.042" Properties=species:S:1:pos:R:3 pbc="T T T"
Tl 5.569 1.796 -0.761
Tl 1.796 1.856 0.761
Tl -1.856 1.917 2.282
Tl 1.917 1.856 3.803
Fe 3.712 0.000 1.521
Fe 0.000 0.000 3.042
Cu 0.000 0.000 0.000
Cu 0.000 3.712 1.521
```

=====

First-principles (PBE) data for an optimized crystal structure of TlFe2Cu, as listed in the Alexandria database.

Values from the calculation:
**Space group**: P4/mmm (123)
**Energy above the lowest structure with this stoichiometry**: 13.7 kJ per mole of atoms
**Total magnetic moment**: 5.3 μB per cell

extended XYZ file:
```
4
Lattice="2.887 0.000 0.000 0.000 2.887 0.000 0.000 0.000 7.234" Properties=species:S:1:pos:R:3 pbc="T T T"
Tl 0.000 0.000 0.000
Fe 1.444 1.444 2.115
Fe 1.444 1.444 5.119
Cu 0.000 0.000 3.617
```